1.
The following is a GGA-PBE calculation of crystalline Cs2K4Cd2Hg at its relaxed geometry, from Alexandria via LeMat-Bulk.

Structure (POSCAR):
```
Cs2K4Cd2Hg
1.0
6.004 1.364 0.428
0.519 8.632 -0.080
-2.498 -5.119 10.412
Cs K Cd Hg
2 4 2 1
Direct
0.345 0.664 0.315
0.655 0.336 0.685
0.595 0.841 0.090
0.979 0.756 0.677
0.405 0.159 0.910
0.021 0.244 0.323
0.891 0.392 0.050
0.109 0.608 0.950
0.000 0.000 0.000
```

Values from the calculation:
- DFT total energy (eV per atom) = -0.97
- energy relative to the elements (eV/atom) = -0.05
- calculated volume (Å³ per atom) = 59.8


2.
The following is a GGA-PBE calculation of crystalline CsKCd2Hg at its relaxed geometry, from Alexandria via LeMat-Bulk.

Structure (POSCAR):
```
CsKCd2Hg
1.0
5.946 0.000 0.000
0.000 5.946 0.000
0.000 0.000 6.623
Cs K Hg Cd
1 1 1 2
Direct
0.000 0.000 0.500
0.500 0.500 0.500
0.000 0.000 0.000
0.000 0.500 0.000
0.500 0.000 0.000
```

Values from the calculation:
- DFT total energy (eV per atom) = -0.76
- polymorph energy (0 for the lowest one) (meV/atom) = 139
- energy relative to the elements (eV/atom) = 0.05
- calculated volume (Å³ per atom) = 46.8


3.
The following is a GGA-PBE calculation of crystalline Cs2KCdHg at its relaxed geometry, from Alexandria via LeMat-Bulk.

Structure (POSCAR):
```
Cs2KCdHg
1.0
7.325 0.000 0.000
0.000 7.325 0.000
0.000 0.000 5.949
Cs K Hg Cd
2 1 1 1
Direct
0.000 0.500 0.000
0.500 0.000 0.000
0.500 0.500 0.500
0.000 0.000 0.000
0.000 0.000 0.500
```

Values from the calculation:
- DFT total energy (eV per atom) = -0.83
- polymorph energy (0 for the lowest one) (meV/atom) = 0
- energy relative to the elements (eV/atom) = -0.03
- calculated volume (Å³ per atom) = 63.8


4.
The following is a GGA-PBE calculation of crystalline Cs4K2Cd2Hg at its relaxed geometry, from Alexandria via LeMat-Bulk.

Structure (POSCAR):
```
Cs4K2Cd2Hg
1.0
-6.419 2.864 2.505
-6.887 -3.819 -3.649
7.969 -5.485 9.125
Cs K Cd Hg
4 2 2 1
Direct
0.464 0.679 0.884
0.701 0.835 0.647
0.536 0.321 0.116
0.299 0.165 0.353
0.978 0.742 0.304
0.022 0.258 0.696
0.940 0.329 0.973
0.060 0.671 0.027
0.000 0.000 0.000
```

Values from the calculation:
- DFT total energy (eV per atom) = -0.92
- energy relative to the elements (eV/atom) = -0.06
- calculated volume (Å³ per atom) = 68.9


5.
The following is a GGA-PBE calculation of crystalline CsKCdHg2 at its relaxed geometry, from Alexandria via LeMat-Bulk.

Structure (POSCAR):
```
CsKCdHg2
1.0
-1.147 0.058 -5.832
1.710 -5.679 -0.393
-6.221 -1.956 1.203
Cs K Hg Cd
1 1 2 1
Direct
0.000 0.000 0.500
0.500 0.500 0.500
0.000 0.500 0.000
0.500 0.000 0.000
0.000 0.000 0.000
```

Values from the calculation:
- DFT total energy (eV per atom) = -0.68
- polymorph energy (0 for the lowest one) (meV/atom) = 118
- energy relative to the elements (eV/atom) = 0.01
- calculated volume (Å³ per atom) = 46.9


6.
The following is a GGA-PBE calculation of crystalline CsKCdHg2 at its relaxed geometry, from Alexandria via LeMat-Bulk.

Structure (POSCAR):
```
CsKCdHg2
1.0
5.934 0.000 0.000
0.000 5.934 0.000
0.000 0.000 6.340
Cs K Hg Cd
1 1 2 1
Direct
0.500 0.500 0.500
0.000 0.000 0.500
0.000 0.500 0.000
0.500 0.000 0.000
0.000 0.000 0.000
```

Values from the calculation:
- DFT total energy (eV per atom) = -0.76
- polymorph energy (0 for the lowest one) (meV/atom) = 44
- energy relative to the elements (eV/atom) = -0.06
- calculated volume (Å³ per atom) = 44.7